[1]
A plane-wave DFT calculation with PBE-GGA was carried out for a relaxed structure of AgSn2Pd6.

Values from the calculation:
The mass density is 10.18 g/cm³. For the energy relative to the elements, the calculation gives -0.243 eV/atom. Its space group is C2/m (12). Its calculated volume is 160.4 Å³/cell.

CIF file:
```
data_AgSn2Pd6
_symmetry_space_group_name_H-M 'P 1'
_symmetry_Int_Tables_number 1
_symmetry_space_group_name_Hall 'P 1'
_cell_length_a 3.0465
_cell_length_b 7.5003
_cell_length_c 8.1078
_cell_angle_alpha 117.55
_cell_angle_beta 101.00
_cell_angle_gamma 90.00
loop_
_atom_site_label
_atom_site_fract_x
_atom_site_fract_y
_atom_site_fract_z
_atom_site_occupancy
Ag1 0.0000 0.0000 0.0000 1
Pd1 0.1662 0.9693 0.3332 1
Pd2 0.8338 0.0307 0.6668 1
Pd3 0.8338 0.6361 0.6668 1
Pd4 0.5000 0.3112 0.0000 1
Pd5 0.1662 0.3639 0.3332 1
Pd6 0.5000 0.6888 0.0000 1
Sn1 0.3329 0.3327 0.6654 1
Sn2 0.6671 0.6673 0.3346 1
```



[2]
A plane-wave DFT calculation with PBE-GGA was carried out for a relaxed structure of LiThZn2Ga.

Values from the calculation:
The mass density is 7.62 g/cm³. For the energy relative to the elements, the calculation gives -0.291 eV/atom. Its space group is I-4m2 (119). Its calculated volume is 95.7 Å³/cell.

CIF file:
```
data_LiThZn2Ga
_symmetry_space_group_name_H-M 'P 1'
_symmetry_Int_Tables_number 1
_symmetry_space_group_name_Hall 'P 1'
_cell_length_a 4.2646
_cell_length_b 4.2646
_cell_length_c 6.0658
_cell_angle_alpha 110.58
_cell_angle_beta 110.58
_cell_angle_gamma 90.00
loop_
_atom_site_label
_atom_site_fract_x
_atom_site_fract_y
_atom_site_fract_z
_atom_site_occupancy
Th1 0.0000 0.0000 0.0000 1
Zn1 0.3832 0.3832 0.7664 1
Zn2 0.6168 0.6168 0.2336 1
Li1 0.2500 0.7500 0.5000 1
Ga1 0.7500 0.2500 0.5000 1
```



[3]
A plane-wave DFT calculation with PBE-GGA was carried out for a relaxed structure of TbPmTm5.

Values from the calculation:
The energy above the most stable polymorph in this dataset is 814 meV per atom. The mass density is 6.74 g/cm³. For the energy relative to the elements, the calculation gives 1.016 eV/atom. Its space group is Imm2 (44). Its calculated volume is 283.2 Å³/cell.

CIF file:
```
data_TbPmTm5
_symmetry_space_group_name_H-M 'P 1'
_symmetry_Int_Tables_number 1
_symmetry_space_group_name_Hall 'P 1'
_cell_length_a 6.1209
_cell_length_b 7.9594
_cell_length_c 7.6801
_cell_angle_alpha 121.21
_cell_angle_beta 113.48
_cell_angle_gamma 90.00
loop_
_atom_site_label
_atom_site_fract_x
_atom_site_fract_y
_atom_site_fract_z
_atom_site_occupancy
Tb1 0.9387 0.0000 0.0000 1
Tm1 0.1702 0.5000 0.0000 1
Tm2 0.4345 0.8201 0.0000 1
Tm3 0.4345 0.1799 0.0000 1
Tm4 0.6708 0.7428 0.4856 1
Tm5 0.1852 0.2572 0.5144 1
Pm1 0.6967 0.5000 0.0000 1
```



[4]
A plane-wave DFT calculation with PBE-GGA was carried out for a relaxed structure of NaPmAu2.

Values from the calculation:
The mass density is 9.42 g/cm³. For the energy relative to the elements, the calculation gives -0.566 eV/atom. Its space group is P4/mmm (123). Its calculated volume is 99.0 Å³/cell.

CIF file:
```
data_NaPmAu2
_symmetry_space_group_name_H-M 'P 1'
_symmetry_Int_Tables_number 1
_symmetry_space_group_name_Hall 'P 1'
_cell_length_a 3.6926
_cell_length_b 3.6926
_cell_length_c 7.2623
_cell_angle_alpha 90.00
_cell_angle_beta 90.00
_cell_angle_gamma 90.00
loop_
_atom_site_label
_atom_site_fract_x
_atom_site_fract_y
_atom_site_fract_z
_atom_site_occupancy
Au1 0.0000 0.0000 0.2271 1
Au2 0.0000 0.0000 0.7729 1
Pm1 0.5000 0.5000 0.0000 1
Na1 0.5000 0.5000 0.5000 1
```